A relaxed structure of CrWNF2. Source: Alexandria via LeMat-Bulk, functional PBE+U.

ΔE to the lowest computed polymorph in meV per atom: 264.6
Mass density in kg/m³: 7413
VASP energy in eV/atom: -5.96

The structure in POSCAR format:
```
CrWNF2
1.0
3.796 0.000 0.000
0.000 3.796 0.000
0.000 0.000 4.474
Cr W N F
1 1 1 2
Direct
0.000 0.000 0.000
0.500 0.500 0.500
0.000 0.000 0.500
0.000 0.500 0.000
0.500 0.000 0.000
```